[1]
# PuPd5Au7

PuPd5Au7 after structural relaxation (PBE, the Alexandria database).

a b c (Å): 5.533 9.322 9.271
angles (deg): 90.00 90.00 90.00
Space group Imm2 (No. 44)
One atom of each set of equivalent atoms:
Pu1 0.000 0.000 0.000 [2 per cell]
Pd1 0.000 0.500 0.714 [2 per cell]
Pd2 0.249 0.248 0.239 [8 per cell]
Au1 0.000 0.000 0.335 [2 per cell]
Au2 0.000 0.000 0.656 [2 per cell]
Au3 0.000 0.293 0.490 [4 per cell]
Au4 0.000 0.343 0.987 [4 per cell]
Au5 0.000 0.500 0.266 [2 per cell]

## Properties
- Energy of formation from the pure elements: -18 kJ per mole of atoms

=====

[2]
# Pu2PdAu7

Pu2PdAu7 after structural relaxation (PBE, the Alexandria database).

a b c (Å): 10.190 10.190 10.190
angles (deg): 90.00 90.00 90.00
Space group Fm-3m (No. 225)
One atom of each set of equivalent atoms:
Pu1 0.250 0.250 0.250 [8 per cell]
Pd1 0.000 0.000 0.000 [4 per cell]
Au1 0.000 0.000 0.247 [24 per cell]
Au2 0.000 0.000 0.500 [4 per cell]

## Properties
- Energy of formation from the pure elements: 19 kJ per mole of atoms

=====

[3]
# PuPd2Au2

PuPd2Au2 after structural relaxation (PBE, the Alexandria database).

a b c (Å): 13.446 4.837 2.973
angles (deg): 90.00 102.59 90.00
Space group C2/m (No. 12)
One atom of each set of equivalent atoms:
Pu1 0.000 0.000 0.000 [2 per cell]
Pd1 0.212 0.000 0.716 [4 per cell]
Au1 0.105 0.500 0.604 [4 per cell]

## Properties
- Energy of formation from the pure elements: -27 kJ per mole of atoms

=====

[4]
# PuPdAu3

PuPdAu3 after structural relaxation (PBE, the Alexandria database).

a b c (Å): 15.866 4.624 5.594
angles (deg): 90.00 93.16 90.00
Space group Cm (No. 8)
One atom of each set of equivalent atoms:
Pu1 0.000 0.000 0.000 [2 per cell]
Pu2 0.214 0.500 0.360 [2 per cell]
Pd1 0.019 0.500 0.379 [2 per cell]
Pd2 0.195 0.000 0.981 [2 per cell]
Au1 0.105 0.000 0.517 [2 per cell]
Au2 0.110 0.500 0.843 [2 per cell]
Au3 0.298 0.500 0.890 [2 per cell]
Au4 0.357 0.000 0.180 [2 per cell]
Au5 0.357 0.000 0.679 [2 per cell]
Au6 0.417 0.500 0.470 [2 per cell]

## Properties
- Energy of formation from the pure elements: -31 kJ per mole of atoms

=====

[5]
# PuPd4Au3

PuPd4Au3 after structural relaxation (PBE, the Alexandria database).

a b c (Å): 9.395 6.138 4.927
angles (deg): 90.00 90.00 90.00
Space group Pmma (No. 51)
One atom of each set of equivalent atoms:
Pu1 0.000 0.000 0.000 [2 per cell]
Pd1 0.000 0.256 0.500 [4 per cell]
Pd2 0.250 0.260 0.129 [4 per cell]
Au1 0.000 0.500 0.000 [2 per cell]
Au2 0.250 0.000 0.594 [2 per cell]
Au3 0.250 0.500 0.634 [2 per cell]

## Properties
- Energy of formation from the pure elements: -29 kJ per mole of atoms

=====

[6]
# Pu3PdAu2

Pu3PdAu2 after structural relaxation (PBE, the Alexandria database).

a b c (Å): 3.863 3.863 9.173
angles (deg): 90.00 90.00 90.00
Space group P4/mmm (No. 123)
One atom of each set of equivalent atoms:
Pu1 0.000 0.000 0.000 [1 per cell]
Pu2 0.000 0.000 0.339 [2 per cell]
Pd1 0.500 0.500 0.500 [1 per cell]
Au1 0.500 0.500 0.172 [2 per cell]

## Properties
- Energy of formation from the pure elements: -39 kJ per mole of atoms

=====

[7]
# Pu4Pd3Au2

Pu4Pd3Au2 after structural relaxation (PBE, the Alexandria database).

a b c (Å): 4.599 5.383 9.057
angles (deg): 73.08 89.91 64.76
Space group P-1 (No. 2)
One atom of each set of equivalent atoms:
Pu1 0.031 0.439 0.342 [2 per cell]
Pu2 0.346 0.808 0.111 [2 per cell]
Pd1 0.000 0.500 0.000 [1 per cell]
Pd2 0.346 0.808 0.451 [2 per cell]
Au1 0.302 0.895 0.756 [2 per cell]

## Properties
- Energy of formation from the pure elements: -38 kJ per mole of atoms

=====

[8]
# Pu2Pd6Au

Pu2Pd6Au after structural relaxation (PBE, the Alexandria database).

a b c (Å): 9.857 5.560 6.327
angles (deg): 90.00 98.51 90.00
Space group C2/m (No. 12)
One atom of each set of equivalent atoms:
Pu1 0.164 0.000 0.165 [4 per cell]
Pd1 0.084 0.240 0.690 [8 per cell]
Pd2 0.183 0.500 0.371 [4 per cell]
Au1 0.000 0.500 0.000 [2 per cell]

## Properties
- Energy of formation from the pure elements: -36 kJ per mole of atoms

=====

[9]
# Pu3Pd2Au4

Pu3Pd2Au4 after structural relaxation (PBE, the Alexandria database).

a b c (Å): 9.991 4.850 8.653
angles (deg): 90.00 110.15 90.00
Space group C2/m (No. 12)
One atom of each set of equivalent atoms:
Pu1 0.000 0.000 0.000 [2 per cell]
Pu2 0.142 0.000 0.687 [4 per cell]
Pd1 0.051 0.500 0.367 [4 per cell]
Au1 0.171 0.500 0.934 [4 per cell]
Au2 0.192 0.000 0.357 [4 per cell]

## Properties
- Energy of formation from the pure elements: -40 kJ per mole of atoms

=====

[10]
# Pu3Pd3Au

Pu3Pd3Au after structural relaxation (PBE, the Alexandria database).

a b c (Å): 4.355 10.321 13.884
angles (deg): 90.00 90.00 90.00
Space group Cmcm (No. 63)
One atom of each set of equivalent atoms:
Pu1 0.000 0.044 0.250 [4 per cell]
Pu2 0.000 0.313 0.101 [8 per cell]
Pd1 0.000 0.230 0.750 [4 per cell]
Pd2 0.000 0.399 0.601 [8 per cell]
Au1 0.000 0.000 0.000 [4 per cell]

## Properties
- Energy of formation from the pure elements: -42 kJ per mole of atoms

=====

[11]
# PuPd2Au3

PuPd2Au3 after structural relaxation (PBE, the Alexandria database).

a b c (Å): 5.424 7.093 7.521
angles (deg): 90.00 111.00 90.00
Space group P2_1/m (No. 11)
One atom of each set of equivalent atoms:
Pu1 0.101 0.250 0.201 [2 per cell]
Pd1 0.356 0.561 0.714 [4 per cell]
Au1 0.038 0.250 0.588 [2 per cell]
Au2 0.451 0.750 0.412 [2 per cell]
Au3 0.476 0.250 0.948 [2 per cell]

## Properties
- Energy of formation from the pure elements: -11 kJ per mole of atoms

=====

[12]
# Pu3Pd4Au

Pu3Pd4Au after structural relaxation (PBE, the Alexandria database).

a b c (Å): 7.672 7.672 5.853
angles (deg): 90.00 90.00 90.00
Space group I4/mmm (No. 139)
One atom of each set of equivalent atoms:
Pu1 0.000 0.000 0.000 [2 per cell]
Pu2 0.000 0.500 0.250 [4 per cell]
Pd1 0.247 0.247 0.500 [8 per cell]
Au1 0.000 0.000 0.500 [2 per cell]

## Properties
- Energy of formation from the pure elements: -24 kJ per mole of atoms

=====

Summary of DOS(E_F) in states/eV per cell
47.08 183.68 22.86 73.13 31.40 23.03 30.67 58.87 72.05 132.55 39.46 60.13
(order as listed above)